Record 1
# AgH3O3

Crystalline AgH3O3 at its relaxed geometry (PBE, the Alexandria database).

Cell lengths 7.3187, 7.3187, 3.1315 Å; angles 90.00, 90.00, 120.00 degrees
With the nearest neighbours (Å) after each atom.
Fractional coordinates of all 14 atoms:
Ag 0.3333 0.6667 0.2500  6 O 2.26
Ag 0.6667 0.3333 0.7500  6 O 2.26
H 0.0913 0.3388 0.7500  1 O 0.99
H 0.2475 0.9087 0.7500  1 O 0.99
H 0.3388 0.2475 0.2500  1 O 0.99
H 0.6612 0.7525 0.7500  1 O 0.99
H 0.7525 0.0913 0.2500  1 O 0.99
H 0.9087 0.6612 0.2500  1 O 0.99
O 0.1672 0.7529 0.7500  1 H 0.99
O 0.2471 0.4142 0.7500  1 H 0.99
O 0.4142 0.1672 0.2500  1 H 0.99
O 0.5858 0.8328 0.7500  1 H 0.99
O 0.7529 0.5858 0.2500  1 H 0.99
O 0.8328 0.2471 0.2500  1 H 0.99

Calculated values
- Total energy: -4.40 eV/atom

Record 2
# LiAg

Crystalline LiAg at its relaxed geometry (PBE, the Alexandria database).

Cell lengths 4.0514, 4.0514, 5.5451 Å; angles 90.00, 90.00, 120.00 degrees
With the nearest neighbours (Å) after each atom.
Fractional coordinates of all 4 atoms:
Li 0.3333 0.6667 0.2500  6 Ag 2.72
Li 0.6667 0.3333 0.7500  6 Ag 2.72
Ag 0.0000 0.0000 0.0000  6 Li 2.72, 2 Ag 2.77
Ag 0.0000 0.0000 0.5000  6 Li 2.72, 2 Ag 2.77

Calculated values
- Calculated formation energy: -0.011 eV per atom

Record 3
# PmNd2CuS5

Crystalline PmNd2CuS5 at its relaxed geometry (PBE, the Alexandria database).

Cell lengths 8.8492, 8.8492, 11.6575 Å; angles 90.00, 90.00, 154.24 degrees
With the nearest neighbours (Å) after each atom.
Fractional coordinates of all 18 atoms:
Pm 0.1948 0.8052 0.5000  6 S 2.71-2.83
Pm 0.8052 0.1948 0.0000  6 S 2.71-2.83
Nd 0.1065 0.8935 0.1746  8 S 2.92-3.19
Nd 0.1180 0.8820 0.8017  6 S 2.84-2.99
Nd 0.8820 0.1180 0.3017  6 S 2.84-2.99
Nd 0.8935 0.1065 0.6746  8 S 2.92-3.19
Cu 0.4428 0.5572 0.9431  4 S 2.28-2.47
Cu 0.5572 0.4428 0.4431  4 S 2.28-2.47
S 0.0410 0.9590 0.5478  2 Cu 2.34
S 0.2913 0.7087 0.1708  2 Pm 2.81, 2 Nd 2.94
S 0.3200 0.6800 0.8338  1 Cu 2.47
S 0.3587 0.6413 0.4919  1 Pm 2.83, 4 Nd 2.96-2.99
S 0.4984 0.5016 0.2675  1 Cu 2.28
S 0.5016 0.4984 0.7675  1 Cu 2.28
S 0.6413 0.3587 0.9919  1 Pm 2.83, 4 Nd 2.96-2.99
S 0.6800 0.3200 0.3338  1 Cu 2.47
S 0.7087 0.2913 0.6708  2 Pm 2.81, 2 Nd 2.94
S 0.9590 0.0410 0.0478  2 Cu 2.34

Calculated values
- Total energy: -6.06 eV/atom

Record 4
# TlCd3

Crystalline TlCd3 at its relaxed geometry (PBE, the Alexandria database).

Cell lengths 3.2409, 3.2409, 11.0399 Å; angles 90.00, 90.00, 120.00 degrees
With the nearest neighbours (Å) after each atom.
Fractional coordinates of all 4 atoms:
Tl 0.0000 0.0000 0.0000  6 Tl 3.24, 6 Cd 3.47
Cd 0.0000 0.0000 0.5000  12 Cd 3.20-3.24
Cd 0.3333 0.6667 0.2644  9 Cd 3.20-3.24, 3 Tl 3.47
Cd 0.3333 0.6667 0.7356  9 Cd 3.20-3.24, 3 Tl 3.47

Calculated values
- Calculated formation energy: 0.052 eV per atom

Record 5
# SrCaSe

Crystalline SrCaSe at its relaxed geometry (PBE, the Alexandria database).

Cell lengths 5.3372, 5.4070, 13.6660 Å; angles 90.00, 90.00, 90.00 degrees
With the nearest neighbours (Å) after each atom.
Fractional coordinates of all 12 atoms:
Sr 0.0000 0.0000 0.0000  4 Se 3.30-3.33, 1 Ca 3.58
Sr 0.0000 0.5000 0.5000  4 Se 3.30-3.33, 1 Ca 3.58
Sr 0.5000 0.0000 0.5000  4 Se 3.30-3.33, 1 Ca 3.58
Sr 0.5000 0.5000 0.0000  4 Se 3.30-3.33, 1 Ca 3.58
Ca 0.0000 0.0000 0.7381  4 Se 3.13-3.16
Ca 0.0000 0.5000 0.2381  4 Se 3.13-3.16
Ca 0.5000 0.0000 0.2381  4 Se 3.13-3.16
Ca 0.5000 0.5000 0.7381  4 Se 3.13-3.16
Se 0.0000 0.0000 0.3577  4 Ca 3.13-3.16, 4 Sr 3.30-3.33
Se 0.0000 0.5000 0.8577  4 Ca 3.13-3.16, 4 Sr 3.30-3.33
Se 0.5000 0.0000 0.8577  4 Ca 3.13-3.16, 4 Sr 3.30-3.33
Se 0.5000 0.5000 0.3577  4 Ca 3.13-3.16, 4 Sr 3.30-3.33

Calculated values
- Distance to the lowest polymorph of the same formula: 135 meV/atom

Record 6
# Cu2Pd3Se4

Crystalline Cu2Pd3Se4 at its relaxed geometry (PBE, the Alexandria database).

Cell lengths 5.7830, 9.9813, 6.2520 Å; angles 90.00, 115.49, 90.00 degrees
With the nearest neighbours (Å) after each atom.
Fractional coordinates of all 18 atoms:
Cu 0.1232 0.1877 0.4936  3 Se 2.43-2.72
Cu 0.1232 0.3123 0.9936  3 Se 2.43-2.72
Cu 0.8768 0.6877 0.0064  3 Se 2.43-2.72
Cu 0.8768 0.8123 0.5064  3 Se 2.43-2.72
Pd 0.2350 0.6322 0.4993  4 Se 2.48-2.53, 1 Cu 2.76
Pd 0.2350 0.8678 0.9993  4 Se 2.48-2.53, 1 Cu 2.76
Pd 0.5000 0.0000 0.5000  4 Se 2.51-2.54
Pd 0.5000 0.5000 0.0000  4 Se 2.51-2.54
Pd 0.7650 0.1322 0.0007  4 Se 2.48-2.53, 1 Cu 2.76
Pd 0.7650 0.3678 0.5007  4 Se 2.48-2.53, 1 Cu 2.76
Se 0.0329 0.5510 0.7634  2 Cu 2.48-2.72, 3 Pd 2.50-2.53
Se 0.0329 0.9490 0.2634  2 Cu 2.48-2.72, 3 Pd 2.50-2.53
Se 0.4892 0.6872 0.2711  1 Cu 2.43, 3 Pd 2.48-2.54
Se 0.4892 0.8128 0.7711  1 Cu 2.43, 3 Pd 2.48-2.54
Se 0.5108 0.1872 0.2289  1 Cu 2.43, 3 Pd 2.48-2.54
Se 0.5108 0.3128 0.7289  1 Cu 2.43, 3 Pd 2.48-2.54
Se 0.9671 0.0510 0.7366  2 Cu 2.48-2.72, 3 Pd 2.50-2.53
Se 0.9671 0.4490 0.2366  2 Cu 2.48-2.72, 3 Pd 2.50-2.53

Calculated values
- Total energy: -4.43 eV/atom